This record from Alexandria via LeMat-Bulk describes a relaxed Tb4TcPd crystal. The functional is PBE-GGA.

Values from the calculation:
The value obtained for the total magnetization is 0.00 μB per formula unit. As for the space-group type: No. 2. The energy is -6.040 eV per atom.

Cell: 6.426 7.914 7.933 Å, 110.52 108.43 108.39°
Atoms (fractional coordinates):
Tb 0.778 0.637 0.767
Tb 0.095 0.949 0.297
Tb 0.721 0.232 0.362
Tb 0.404 0.702 0.050
Tb 0.596 0.298 0.950
Tb 0.279 0.768 0.638
Tb 0.905 0.051 0.703
Tb 0.222 0.363 0.233
Tc 0.250 0.003 0.997
Tc 0.750 0.997 0.003
Pd 0.750 0.635 0.365
Pd 0.250 0.365 0.635